{"formula": "TmHfSc2", "functional": "PBE", "state": "optimized geometry", "lattice_angstrom": [[3.297, 0.000, 0.000], [1.649, 2.856, 0.000], [1.649, 0.952, 10.609]], "species": ["Tm", "Hf", "Sc", "Sc"], "fractional_positions": [[0.501, 0.501, 0.498], [0.666, 0.666, 0.002], [0.079, 0.079, 0.764], [0.255, 0.255, 0.236]], "formation_enthalpy_0k_kj_per_mol_fu": 22, "space_group": "R3m", "polymorph_energy_kj_per_mol_fu": 0, "total_magnetization_mub_per_cell": 0.016}

---

{"formula": "Tm2HfSc6", "functional": "PBE", "state": "optimized geometry", "lattice_angstrom": [[-1.774, -0.951, -2.594], [4.316, -7.836, -0.081], [-7.499, 0.927, 4.790]], "species": ["Tm", "Tm", "Hf", "Sc", "Sc", "Sc", "Sc", "Sc", "Sc"], "fractional_positions": [[0.000, 0.333, 0.667], [0.000, 0.667, 0.333], [0.500, 0.000, 0.000], [0.000, 0.704, 0.000], [0.000, 0.000, 0.704], [0.000, 0.296, 0.296], [0.500, 0.654, 0.654], [0.500, 0.000, 0.346], [0.500, 0.346, 0.000]], "formation_enthalpy_0k_kj_per_mol_fu": 39, "space_group": "P-62m", "polymorph_energy_kj_per_mol_fu": 0, "total_magnetization_mub_per_cell": 0.000}

---

{"formula": "TmHfSc", "functional": "PBE", "state": "optimized geometry", "lattice_angstrom": [[3.283, 0.000, 0.000], [0.000, 5.145, 0.000], [0.000, -2.572, 4.456]], "species": ["Sc", "Tm", "Hf"], "fractional_positions": [[0.167, 0.000, 0.000], [0.667, 0.667, 0.333], [0.167, 0.333, 0.667]], "formation_enthalpy_0k_kj_per_mol_fu": 38, "space_group": "P-6m2", "polymorph_energy_kj_per_mol_fu": 14, "total_magnetization_mub_per_cell": 0.005}

---

{"formula": "TmHf2Sc3", "functional": "PBE", "state": "optimized geometry", "lattice_angstrom": [[3.164, 0.000, 0.000], [0.000, 9.355, -0.470], [-1.582, -2.811, 10.246]], "species": ["Tm", "Tm", "Hf", "Hf", "Hf", "Hf", "Sc", "Sc", "Sc", "Sc", "Sc", "Sc"], "fractional_positions": [[0.318, 0.961, 0.635], [0.682, 0.039, 0.365], [0.307, 0.626, 0.614], [0.693, 0.374, 0.386], [0.927, 0.849, 0.854], [0.073, 0.151, 0.146], [0.304, 0.294, 0.607], [0.062, 0.777, 0.125], [0.440, 0.560, 0.879], [0.696, 0.706, 0.393], [0.560, 0.440, 0.121], [0.938, 0.223, 0.875]], "formation_enthalpy_0k_kj_per_mol_fu": 104, "space_group": "C2/m", "total_magnetization_mub_per_cell": 0.000}

---

{"formula": "TmHfSc6", "functional": "PBE", "state": "optimized geometry", "lattice_angstrom": [[4.524, 0.000, 0.000], [0.000, 6.507, -1.109], [0.000, 1.106, 6.508]], "species": ["Tm", "Hf", "Sc", "Sc", "Sc", "Sc", "Sc", "Sc"], "fractional_positions": [[0.500, 0.125, 0.875], [0.500, 0.625, 0.375], [0.500, 0.125, 0.375], [0.500, 0.625, 0.875], [0.000, 0.386, 0.136], [0.000, 0.864, 0.614], [0.000, 0.387, 0.613], [0.000, 0.863, 0.137]], "formation_enthalpy_0k_kj_per_mol_fu": 45, "space_group": "P4/mmm", "polymorph_energy_kj_per_mol_fu": 23, "total_magnetization_mub_per_cell": 0.000}

---

{"formula": "TmHfSc2", "functional": "PBE", "state": "optimized geometry", "lattice_angstrom": [[3.257, 0.000, 0.000], [0.000, 6.404, 1.254], [-0.001, 1.389, 9.828]], "species": ["Tm", "Tm", "Hf", "Hf", "Sc", "Sc", "Sc", "Sc"], "fractional_positions": [[0.282, 0.204, 0.728], [0.283, 0.704, 0.728], [0.282, 0.954, 0.228], [0.282, 0.454, 0.228], [0.782, 0.819, 0.997], [0.782, 0.588, 0.459], [0.782, 0.319, 0.997], [0.782, 0.088, 0.459]], "formation_enthalpy_0k_kj_per_mol_fu": 25, "space_group": "P2/m", "polymorph_energy_kj_per_mol_fu": 3, "total_magnetization_mub_per_cell": 0.000}

---

{"formula": "Tm2HfSc8", "functional": "PBE", "state": "optimized geometry", "lattice_angstrom": [[5.125, 1.437, 0.000], [2.357, 7.961, 0.000], [1.178, 3.980, 7.472]], "species": ["Tm", "Tm", "Hf", "Sc", "Sc", "Sc", "Sc", "Sc", "Sc", "Sc", "Sc"], "fractional_positions": [[0.000, 0.307, 0.386], [0.000, 0.693, 0.614], [0.500, 0.000, 0.000], [0.829, 0.097, 0.224], [0.829, 0.322, 0.776], [0.297, 0.423, 0.000], [0.500, 0.799, 0.403], [0.500, 0.201, 0.597], [0.703, 0.577, 0.000], [0.171, 0.678, 0.224], [0.171, 0.903, 0.776]], "formation_enthalpy_0k_kj_per_mol_fu": 215, "space_group": "C2/m", "total_magnetization_mub_per_cell": 0.016}

---

{"formula": "TmHf6Sc12", "functional": "PBE", "state": "optimized geometry", "lattice_angstrom": [[7.957, 0.578, 0.814], [-1.413, 7.852, 0.814], [-1.413, -1.820, 7.681]], "species": ["Tm", "Hf", "Hf", "Hf", "Hf", "Hf", "Hf", "Sc", "Sc", "Sc", "Sc", "Sc", "Sc", "Sc", "Sc", "Sc", "Sc", "Sc", "Sc"], "fractional_positions": [[0.000, 0.000, 0.000], [0.730, 0.186, 0.186], [0.186, 0.186, 0.730], [0.186, 0.730, 0.186], [0.814, 0.814, 0.270], [0.270, 0.814, 0.814], [0.814, 0.270, 0.814], [0.875, 0.125, 0.500], [0.799, 0.515, 0.515], [0.515, 0.515, 0.799], [0.485, 0.201, 0.485], [0.485, 0.485, 0.201], [0.201, 0.485, 0.485], [0.125, 0.500, 0.875], [0.500, 0.875, 0.125], [0.125, 0.875, 0.500], [0.875, 0.500, 0.125], [0.500, 0.125, 0.875], [0.515, 0.799, 0.515]], "formation_enthalpy_0k_kj_per_mol_fu": 941, "space_group": "R-3m", "polymorph_energy_kj_per_mol_fu": 509, "total_magnetization_mub_per_cell": 0.000}

---

{"formula": "Tm3HfSc", "functional": "PBE", "state": "optimized geometry", "lattice_angstrom": [[5.104, 0.000, 0.000], [0.000, 6.709, 0.117], [-2.552, -0.100, 7.847]], "species": ["Tm", "Tm", "Tm", "Tm", "Tm", "Tm", "Hf", "Hf", "Sc", "Sc"], "fractional_positions": [[0.997, 0.733, 0.995], [0.003, 0.267, 0.005], [0.388, 0.998, 0.775], [0.612, 0.002, 0.225], [0.202, 0.742, 0.404], [0.798, 0.258, 0.596], [0.604, 0.499, 0.209], [0.396, 0.501, 0.791], [0.800, 0.740, 0.600], [0.200, 0.260, 0.400]], "formation_enthalpy_0k_kj_per_mol_fu": 49, "space_group": "C2/m", "total_magnetization_mub_per_cell": 0.000}

---

{"formula": "TmHf6Sc12", "functional": "PBE", "state": "optimized geometry", "lattice_angstrom": [[7.706, 0.434, -1.604], [-2.054, 7.440, -1.604], [0.311, 0.434, 7.865]], "species": ["Tm", "Hf", "Hf", "Hf", "Hf", "Hf", "Hf", "Sc", "Sc", "Sc", "Sc", "Sc", "Sc", "Sc", "Sc", "Sc", "Sc", "Sc", "Sc"], "fractional_positions": [[0.000, 0.000, 0.000], [0.100, 0.656, 0.100], [0.100, 0.100, 0.656], [0.656, 0.100, 0.100], [0.900, 0.900, 0.344], [0.900, 0.344, 0.900], [0.344, 0.900, 0.900], [0.763, 0.237, 0.500], [0.349, 0.078, 0.349], [0.349, 0.349, 0.078], [0.922, 0.651, 0.651], [0.651, 0.651, 0.922], [0.651, 0.922, 0.651], [0.500, 0.763, 0.237], [0.237, 0.500, 0.763], [0.237, 0.763, 0.500], [0.500, 0.237, 0.763], [0.763, 0.500, 0.237], [0.078, 0.349, 0.349]], "formation_enthalpy_0k_kj_per_mol_fu": 432, "space_group": "R-3m", "polymorph_energy_kj_per_mol_fu": 0, "total_magnetization_mub_per_cell": 0.000}

---

{"formula": "TmHf2Sc6", "functional": "PBE", "state": "optimized geometry", "lattice_angstrom": [[3.287, 0.000, 0.000], [-1.643, 2.846, 0.000], [0.000, 0.000, 23.764]], "species": ["Tm", "Hf", "Hf", "Sc", "Sc", "Sc", "Sc", "Sc", "Sc"], "fractional_positions": [[0.333, 0.667, 0.000], [0.667, 0.333, 0.332], [0.667, 0.333, 0.668], [0.667, 0.333, 0.884], [0.333, 0.667, 0.436], [0.333, 0.667, 0.774], [0.333, 0.667, 0.226], [0.333, 0.667, 0.564], [0.667, 0.333, 0.116]], "formation_enthalpy_0k_kj_per_mol_fu": 40, "space_group": "P-6m2", "total_magnetization_mub_per_cell": 1.877}

---

{"formula": "TmHfSc6", "functional": "PBE", "state": "optimized geometry", "lattice_angstrom": [[-2.326, 2.202, 4.045], [4.752, -2.352, 4.013], [0.703, 5.969, -2.846]], "species": ["Tm", "Hf", "Sc", "Sc", "Sc", "Sc", "Sc", "Sc"], "fractional_positions": [[0.000, 0.083, 0.917], [0.500, 0.417, 0.583], [0.000, 0.090, 0.420], [0.000, 0.580, 0.910], [0.000, 0.580, 0.420], [0.500, 0.422, 0.086], [0.500, 0.914, 0.578], [0.500, 0.914, 0.086]], "formation_enthalpy_0k_kj_per_mol_fu": 22, "space_group": "P-6m2", "polymorph_energy_kj_per_mol_fu": 0, "total_magnetization_mub_per_cell": 0.000}

---

Which formula does entry 2 have? Tm2HfSc6